The following is a DFT calculation (PBE-GGA) of a geometry-optimized LiCuPt3 structure.

Calculated values
**Size of the total moment**: 0.00 μB per formula unit
**Excess energy over the best structure of this formula in the dataset**: 0.7885 eV/atom
**Formation enthalpy at 0 K**: 0.5091 eV per atom

Lattice parameters (Å, degrees): 4.212 4.212 4.212 90.00 90.00 90.00
Space group Pm-3m (No. 221)
One atom of each set of equivalent atoms:
Li  0.000  0.000  0.000 [1 per cell]
Cu  0.500  0.500  0.500 [1 per cell]
Pt  0.000  0.000  0.500 [3 per cell]

---

The following is a DFT calculation (PBE-GGA) of a geometry-optimized LiCuPt structure.

Calculated values
**Size of the total moment**: 0.00 μB per formula unit
**Excess energy over the best structure of this formula in the dataset**: 0.3607 eV/atom
**Formation enthalpy at 0 K**: -0.0120 eV per atom

Lattice parameters (Å, degrees): 5.756 5.756 5.756 90.00 90.00 90.00
Space group F-43m (No. 216)
One atom of each set of equivalent atoms:
Li  0.000  0.000  0.000 [4 per cell]
Cu  0.250  0.250  0.750 [4 per cell]
Pt  0.000  0.000  0.500 [4 per cell]

---

The following is a DFT calculation (PBE-GGA) of a geometry-optimized LiCuPt2 structure.

Calculated values
**Size of the total moment**: 0.00 μB per formula unit
**Excess energy over the best structure of this formula in the dataset**: 0.0947 eV/atom
**Formation enthalpy at 0 K**: -0.3114 eV per atom

Lattice parameters (Å, degrees): 2.725 3.718 5.485 90.00 90.00 90.00
Space group Pmmm (No. 47)
One atom of each set of equivalent atoms:
Li  0.000  0.000  0.000 [1 per cell]
Cu  0.000  0.000  0.500 [1 per cell]
Pt  0.500  0.500  0.248 [2 per cell]

---

The following is a DFT calculation (PBE-GGA) of a geometry-optimized LiCuPt2 structure.

Calculated values
**Size of the total moment**: 0.00 μB per formula unit
**Excess energy over the best structure of this formula in the dataset**: 0.1898 eV/atom
**Formation enthalpy at 0 K**: -0.2163 eV per atom

Lattice parameters (Å, degrees): 6.124 6.124 6.124 90.00 90.00 90.00
Space group F-43m (No. 216)
One atom of each set of equivalent atoms:
Li  0.000  0.000  0.000 [4 per cell]
Cu  0.250  0.250  0.750 [4 per cell]
Pt  0.000  0.000  0.500 [4 per cell]
Pt  0.250  0.250  0.250 [4 per cell]

---

The following is a DFT calculation (PBE-GGA) of a geometry-optimized LiCuPt2 structure.

Calculated values
**Size of the total moment**: 0.00 μB per formula unit
**Excess energy over the best structure of this formula in the dataset**: 0.0959 eV/atom
**Formation enthalpy at 0 K**: -0.3102 eV per atom

Lattice parameters (Å, degrees): 6.000 6.000 6.000 90.00 90.00 90.00
Space group Fm-3m (No. 225)
One atom of each set of equivalent atoms:
Li  0.000  0.000  0.000 [4 per cell]
Cu  0.000  0.000  0.500 [4 per cell]
Pt  0.250  0.250  0.250 [8 per cell]

---

The following is a DFT calculation (PBE-GGA) of a geometry-optimized LiCuPt2 structure.

Calculated values
**Size of the total moment**: 0.00 μB per formula unit
**Excess energy over the best structure of this formula in the dataset**: 0.0440 eV/atom
**Formation enthalpy at 0 K**: -0.3621 eV per atom

Lattice parameters (Å, degrees): 5.421 8.778 2.701 90.00 117.81 90.00
Space group C2/m (No. 12)
One atom of each set of equivalent atoms:
Li  0.000  0.000  0.000 [2 per cell]
Cu  0.000  0.500  0.000 [2 per cell]
Pt  0.250  0.250  0.500 [4 per cell]

---

The following is a DFT calculation (PBE-GGA) of a geometry-optimized LiCuPt2 structure.

Calculated values
**Size of the total moment**: 0.00 μB per formula unit
**Excess energy over the best structure of this formula in the dataset**: 0.2098 eV/atom
**Formation enthalpy at 0 K**: -0.1963 eV per atom

Lattice parameters (Å, degrees): 2.897 2.897 6.451 90.00 90.00 90.00
Space group P4mm (No. 99)
One atom of each set of equivalent atoms:
Li  0.000  0.000  0.000 [1 per cell]
Cu  0.500  0.500  0.788 [1 per cell]
Pt  0.000  0.000  0.535 [1 per cell]
Pt  0.500  0.500  0.233 [1 per cell]

---

The following is a DFT calculation (PBE-GGA) of a geometry-optimized LiCuPt2 structure.

Calculated values
**Size of the total moment**: 0.00 μB per formula unit
**Excess energy over the best structure of this formula in the dataset**: 0.0996 eV/atom
**Formation enthalpy at 0 K**: -0.3065 eV per atom

Lattice parameters (Å, degrees): 9.132 2.757 4.527 90.00 100.53 90.00
Space group Cm (No. 8)
One atom of each set of equivalent atoms:
Li  0.000  0.000  0.000 [2 per cell]
Cu  0.243  0.000  0.734 [2 per cell]
Pt  0.253  0.500  0.232 [2 per cell]
Pt  0.499  0.000  0.507 [2 per cell]